A.
Material: CuHg3S
Method: DFT, PBE
State: optimized geometry

Values from the calculation:
Total moment = 0.00 μB/f.u.

Cell lengths 5.0456, 5.0456, 5.0456 Å; angles 90.00, 90.00, 90.00 degrees
Closest atoms and distances in Å follow each position.
Fractional positions:
Hg: 0.0000 0.0000 0.5000  2 Cu 2.52
Hg: 0.0000 0.5000 0.0000  2 Cu 2.52
Hg: 0.5000 0.0000 0.0000  2 Cu 2.52
Cu: 0.0000 0.0000 0.0000  6 Hg 2.52
S: 0.5000 0.5000 0.5000  12 Hg 3.57


B.
Material: CuHg3S
Method: DFT, PBE
State: optimized geometry

Values from the calculation:
Total moment = 0.00 μB/f.u.

Cell lengths 5.3190, 5.3190, 5.3190 Å; angles 90.00, 90.00, 90.00 degrees
Closest atoms and distances in Å follow each position.
Fractional positions:
Cu: 0.5000 0.5000 0.5000  12 Hg 3.76
Hg: 0.0000 0.0000 0.5000  2 S 2.66
Hg: 0.5000 0.0000 0.0000  2 S 2.66
Hg: 0.0000 0.5000 0.0000  2 S 2.66
S: 0.0000 0.0000 0.0000  6 Hg 2.66


Stability, highest: A


A.
Material: Cu2Hg3S4
Method: DFT, PBE
State: optimized geometry

Values from the calculation:
Total moment = 0.00 μB/f.u.

Cell lengths 7.0723, 10.7517, 10.7517 Å; angles 44.30, 130.38, 130.38 degrees
Closest atoms and distances in Å follow each position.
Fractional positions:
Cu: 0.6580 0.4163 0.1655  4 S 2.36-2.38, 1 Cu 2.58
Cu: 0.3420 0.5837 0.8345  4 S 2.36-2.38, 1 Cu 2.58
Cu: 0.8420 0.8345 0.5837  4 S 2.36-2.38, 1 Cu 2.58
Cu: 0.1580 0.1655 0.4163  4 S 2.36-2.38, 1 Cu 2.58
Hg: 0.3402 0.7508 0.0166  3 S 2.53-2.61
Hg: 0.2500 0.5776 0.4224  2 S 2.39
Hg: 0.7500 0.4224 0.5776  2 S 2.39
Hg: 0.8402 0.0166 0.7508  3 S 2.53-2.61
Hg: 0.6598 0.2492 0.9834  3 S 2.53-2.61
Hg: 0.1598 0.9834 0.2492  3 S 2.53-2.61
S: 0.0812 0.4425 0.2496  2 Cu 2.36-2.37, 2 Hg 2.39-2.61
S: 0.5812 0.2496 0.4425  2 Cu 2.36-2.37, 2 Hg 2.39-2.61
S: 0.6831 0.7221 0.0285  2 Cu 2.38, 2 Hg 2.53-2.55
S: 0.4188 0.7504 0.5575  2 Cu 2.36-2.37, 2 Hg 2.39-2.61
S: 0.3169 0.2779 0.9715  2 Cu 2.38, 2 Hg 2.53-2.55
S: 0.8169 0.9715 0.2779  2 Cu 2.38, 2 Hg 2.53-2.55
S: 0.1831 0.0285 0.7221  2 Cu 2.38, 2 Hg 2.53-2.55
S: 0.9188 0.5575 0.7504  2 Cu 2.36-2.37, 2 Hg 2.39-2.61


B.
Material: Cu2Hg3S4
Method: DFT, PBE
State: optimized geometry

Values from the calculation:
Total moment = 0.00 μB/f.u.

Cell lengths 6.6664, 7.8069, 7.8069 Å; angles 94.86, 83.94, 83.94 degrees
Closest atoms and distances in Å follow each position.
Fractional positions:
Hg: 0.0760 0.0334 0.7341  2 S 2.44-2.47
Hg: 0.2500 0.6293 0.3707  4 S 2.56-2.77
Hg: 0.4240 0.2659 0.9666  2 S 2.44-2.47
Hg: 0.7500 0.3707 0.6293  4 S 2.56-2.77
Hg: 0.5760 0.7341 0.0334  2 S 2.44-2.47
Hg: 0.9240 0.9666 0.2659  2 S 2.44-2.47
Cu: 0.6549 0.8335 0.5838  4 S 2.34-2.41
Cu: 0.8451 0.4162 0.1665  4 S 2.34-2.41
Cu: 0.3451 0.1665 0.4162  4 S 2.34-2.41
Cu: 0.1549 0.5838 0.8335  4 S 2.34-2.41
S: 0.9901 0.7493 0.6299  2 Cu 2.34-2.41, 2 Hg 2.44-2.56
S: 0.0035 0.3285 0.8857  2 Cu 2.34-2.37, 1 Hg 2.47
S: 0.9965 0.6715 0.1143  2 Cu 2.34-2.37, 1 Hg 2.47
S: 0.0099 0.2507 0.3701  2 Cu 2.34-2.41, 2 Hg 2.44-2.56
S: 0.5099 0.3701 0.2507  2 Cu 2.34-2.41, 2 Hg 2.44-2.56
S: 0.5035 0.8857 0.3285  2 Cu 2.34-2.37, 1 Hg 2.47
S: 0.4901 0.6299 0.7493  2 Cu 2.34-2.41, 2 Hg 2.44-2.56
S: 0.4965 0.1143 0.6715  2 Cu 2.34-2.37, 1 Hg 2.47


Stability, highest: A


A.
Material: CuHg2Sb2
Method: DFT, PBE
State: optimized geometry

Values from the calculation:
Total moment = 0.00 μB/f.u.

Cell lengths 6.8783, 6.8783, 5.9053 Å; angles 90.00, 90.00, 90.00 degrees
Closest atoms and distances in Å follow each position.
Fractional positions:
Sb: 0.1512 0.3488 0.0000  2 Cu 2.61
Sb: 0.8488 0.6512 0.0000  2 Cu 2.61
Sb: 0.6512 0.1512 0.0000  2 Cu 2.61
Sb: 0.3488 0.8488 0.0000  2 Cu 2.61
Hg: 0.8345 0.6655 0.5000  2 Sb 2.96, 1 Hg 3.22
Hg: 0.1655 0.3345 0.5000  2 Sb 2.96, 1 Hg 3.22
Hg: 0.3345 0.8345 0.5000  2 Sb 2.96, 1 Hg 3.22
Hg: 0.6655 0.1655 0.5000  2 Sb 2.96, 1 Hg 3.22
Cu: 0.0000 0.0000 0.0000  4 Sb 2.61
Cu: 0.5000 0.5000 0.0000  4 Sb 2.61


B.
Material: CuHg2Sb2
Method: DFT, PBE
State: optimized geometry

Values from the calculation:
Total moment = 0.00 μB/f.u.

Cell lengths 7.1878, 7.1878, 4.7817 Å; angles 90.00, 90.00, 90.00 degrees
Closest atoms and distances in Å follow each position.
Fractional positions:
Cu: 0.5000 0.5000 0.0000  4 Hg 2.69
Cu: 0.0000 0.0000 0.0000  4 Hg 2.69
Hg: 0.8376 0.6624 0.0000  2 Cu 2.69
Hg: 0.3376 0.8376 0.0000  2 Cu 2.69
Hg: 0.1624 0.3376 0.0000  2 Cu 2.69
Hg: 0.6624 0.1624 0.0000  2 Cu 2.69
Sb: 0.6495 0.8505 0.5000  1 Sb 3.04, 6 Hg 3.06-3.28
Sb: 0.1495 0.6495 0.5000  1 Sb 3.04, 6 Hg 3.06-3.28
Sb: 0.8505 0.3505 0.5000  1 Sb 3.04, 6 Hg 3.06-3.28
Sb: 0.3505 0.1495 0.5000  1 Sb 3.04, 6 Hg 3.06-3.28


Stability, highest: A


A.
Material: Cu2Hg2Sb
Method: DFT, PBE
State: optimized geometry

Values from the calculation:
Total moment = 0.00 μB/f.u.

Cell lengths 6.9860, 6.9860, 4.0526 Å; angles 90.00, 90.00, 90.00 degrees
Closest atoms and distances in Å follow each position.
Fractional positions:
Sb: 0.5000 0.5000 0.0000  4 Cu 2.73
Sb: 0.0000 0.0000 0.0000  4 Cu 2.73
Cu: 0.1315 0.3685 0.0000  1 Cu 2.60, 2 Sb 2.73, 6 Hg 2.88-2.89
Cu: 0.6315 0.1315 0.0000  1 Cu 2.60, 2 Sb 2.73, 6 Hg 2.88-2.89
Cu: 0.8685 0.6315 0.0000  1 Cu 2.60, 2 Sb 2.73, 6 Hg 2.88-2.89
Cu: 0.3685 0.8685 0.0000  1 Cu 2.60, 2 Sb 2.73, 6 Hg 2.88-2.89
Hg: 0.3406 0.1594 0.5000  6 Cu 2.88-2.89, 1 Hg 3.15
Hg: 0.1594 0.6594 0.5000  6 Cu 2.88-2.89, 1 Hg 3.15
Hg: 0.8406 0.3406 0.5000  6 Cu 2.88-2.89, 1 Hg 3.15
Hg: 0.6594 0.8406 0.5000  6 Cu 2.88-2.89, 1 Hg 3.15


B.
Material: Cu2Hg2Sb
Method: DFT, PBE
State: optimized geometry

Values from the calculation:
Total moment = 0.00 μB/f.u.

Cell lengths 3.9844, 3.9844, 7.0276 Å; angles 73.53, 73.53, 90.00 degrees
Closest atoms and distances in Å follow each position.
Fractional positions:
Cu: 0.4078 0.4078 0.1843  1 Cu 2.37
Cu: 0.5922 0.5922 0.8157  1 Cu 2.37
Hg: 0.7500 0.2500 0.5000  4 Hg 2.82, 4 Cu 2.85
Hg: 0.2500 0.7500 0.5000  4 Hg 2.82, 4 Cu 2.85
Sb: 0.0000 0.0000 0.0000  8 Cu 3.06


C.
Material: Cu2Hg2Sb
Method: DFT, PBE
State: optimized geometry

Values from the calculation:
Total moment = 0.00 μB/f.u.

Cell lengths 8.1187, 8.1187, 2.9760 Å; angles 90.00, 90.00, 90.00 degrees
Closest atoms and distances in Å follow each position.
Fractional positions:
Hg: 0.8628 0.6372 0.0000  6 Cu 2.76-2.84, 2 Hg 2.98
Hg: 0.1372 0.3628 0.0000  6 Cu 2.76-2.84, 2 Hg 2.98
Hg: 0.6372 0.1372 0.0000  6 Cu 2.76-2.84, 2 Hg 2.98
Hg: 0.3628 0.8628 0.0000  6 Cu 2.76-2.84, 2 Hg 2.98
Cu: 0.1601 0.6601 0.5000  6 Hg 2.76-2.84, 2 Cu 2.98
Cu: 0.8399 0.3399 0.5000  6 Hg 2.76-2.84, 2 Cu 2.98
Cu: 0.6601 0.8399 0.5000  6 Hg 2.76-2.84, 2 Cu 2.98
Cu: 0.3399 0.1601 0.5000  6 Hg 2.76-2.84, 2 Cu 2.98
Sb: 0.5000 0.5000 0.0000  2 Sb 2.98, 4 Hg 3.15
Sb: 0.0000 0.0000 0.0000  2 Sb 2.98, 4 Hg 3.15


Stability, highest: A